(1)
## Mg2Ni2Ir (PBE-GGA)

Data for an optimized crystal structure of Mg2Ni2Ir.

Computed properties:
- ΔH_f (0 K): -0.6 eV per formula unit
- Total energy: -4.839 eV per atom

Cell: 6.1926 6.1926 3.9380 Å, 90.00 90.00 90.00°
Last column: nearest neighbours and their distance in Å.
Space group P4/mbm (No. 127)
Asymmetric unit:
Mg: 0.1799 0.3201 0.0000  6 Ni 2.59-2.76
Ni: 0.1273 0.6273 0.5000  1 Ni 2.23, 2 Ir 2.44
Ir: 0.0000 0.0000 0.5000  4 Ni 2.44

(2)
## ZnSb2Ru (PBE-GGA)

Data for an optimized crystal structure of ZnSb2Ru.

Computed properties:
- Raw formation energy: 0.482 eV/atom
- Total energy: -4.217 eV per atom

Cell: 6.8041 6.8041 6.8041 Å, 90.00 90.00 90.00°
Last column: nearest neighbours and their distance in Å.
Space group F-43m (No. 216)
Asymmetric unit:
Zn: 0.0000 0.0000 0.0000  4 Ru 2.95, 4 Sb 2.95
Sb: 0.0000 0.0000 0.5000  4 Sb 2.95, 4 Ru 2.95
Sb: 0.2500 0.2500 0.2500  4 Sb 2.95, 4 Zn 2.95
Ru: 0.2500 0.2500 0.7500  4 Sb 2.95, 4 Zn 2.95

(3)
## TcHg2Te (PBE-GGA)

Data for an optimized crystal structure of TcHg2Te.

Computed properties:
- Raw formation energy: 0.674 eV/atom
- Total energy: -2.854 eV per atom

Cell: 4.1097 4.1097 10.2810 Å, 90.00 90.00 90.00°
Last column: nearest neighbours and their distance in Å.
Space group I4/mmm (No. 139)
Asymmetric unit:
Tc: 0.0000 0.0000 0.0000  4 Te 2.91
Hg: 0.0000 0.5000 0.2500  4 Hg 2.91
Te: 0.0000 0.0000 0.5000  4 Tc 2.91

(4)
## BaAcMgSb (PBE-GGA)

Data for an optimized crystal structure of BaAcMgSb.

Computed properties:
- Raw formation energy: -0.416 eV/atom
- Total energy: -3.353 eV per atom

Cell: 8.3128 8.3128 8.3128 Å, 90.00 90.00 90.00°
Last column: nearest neighbours and their distance in Å.
Space group F-43m (No. 216)
Asymmetric unit:
Ba: 0.0000 0.0000 0.0000  4 Sb 3.60, 4 Mg 3.60
Ac: 0.0000 0.0000 0.5000  4 Sb 3.60, 4 Mg 3.60
Mg: 0.2500 0.2500 0.2500  4 Ba 3.60, 4 Ac 3.60
Sb: 0.2500 0.2500 0.7500  4 Ba 3.60, 4 Ac 3.60

(5)
## Y6InTe3As2 (PBE-GGA)

Data for an optimized crystal structure of Y6InTe3As2.

Computed properties:
- Raw formation energy: -1.286 eV/atom
- Total energy: -6.306 eV per atom

Cell: 18.8222 4.2203 8.7491 Å, 90.00 104.06 90.00°
Last column: nearest neighbours and their distance in Å.
Space group C2/m (No. 12)
Asymmetric unit:
Y: 0.0077 0.0000 0.2503  1 As 2.93, 2 In 3.02, 3 Te 3.07-3.17
Y: 0.1656 0.5000 0.1052  2 As 2.92, 1 In 3.03, 3 Te 3.08-3.19
Y: 0.1744 0.5000 0.5668  3 As 2.88-2.90, 3 Te 3.17-3.19
In: 0.0000 0.5000 0.0000  6 Y 3.02-3.03
Te: 0.0000 0.5000 0.5000  6 Y 3.07-3.19
Te: 0.1659 0.0000 0.8314  6 Y 3.08-3.19
As: 0.1682 0.0000 0.3368  6 Y 2.88-2.93

(6)
## Rb2NdCdBr6 (PBE-GGA)

Data for an optimized crystal structure of Rb2NdCdBr6.

Computed properties:
- Raw formation energy: -1.476 eV/atom
- Total energy: -3.242 eV per atom

Cell: 8.4674 11.8183 8.2955 Å, 90.00 90.00 90.00°
Last column: nearest neighbours and their distance in Å.
Space group Pmmn (No. 59, origin choice 2)
Asymmetric unit:
Rb: 0.2500 0.0364 0.2125  5 Br 3.73-3.86
Nd: 0.2500 0.2500 0.7345  6 Br 2.89-2.91
Cd: 0.2500 0.7500 0.7564  6 Br 3.00-3.07
Br: 0.0070 0.2500 0.9822  1 Nd 2.91, 1 Cd 3.07
Br: 0.0220 0.2500 0.4759  1 Nd 2.89, 1 Cd 3.00
Br: 0.2500 0.0060 0.7644  1 Nd 2.89, 1 Cd 3.03

(7)
## LaTb4DyS8 (PBE-GGA)

Data for an optimized crystal structure of LaTb4DyS8.

Computed properties:
- Raw formation energy: -1.950 eV/atom
- Total energy: -6.312 eV per atom

Cell: 8.1513 8.1513 19.9429 Å, 90.00 90.00 120.00°
Last column: nearest neighbours and their distance in Å.
Space group R3m (No. 160, hexagonal axes)
Asymmetric unit:
La: 0.0000 0.0000 0.0000  4 S 2.73-2.74
Tb: 0.0000 0.0000 0.2497  4 S 2.63-2.64
Tb: 0.0026 0.5013 0.1253  6 S 2.76-2.80
Dy: 0.0000 0.0000 0.6242  6 S 2.75-2.78
S: 0.0000 0.0000 0.3816  4 Tb 2.63-2.79
S: 0.0000 0.0000 0.8629  1 La 2.73, 3 Tb 2.76
S: 0.0330 0.5165 0.3787  1 La 2.74, 1 Dy 2.75, 2 Tb 2.76
S: 0.1764 0.3529 0.2066  3 Tb 2.64-2.80, 1 Dy 2.78

(8)
## Tb3Tm4Th2 (PBE-GGA)

Data for an optimized crystal structure of Tb3Tm4Th2.

Computed properties:
- ΔH_f (0 K): 1.1 eV per formula unit
- Total energy: -5.057 eV per atom
- Energy above the lowest structure with this stoichiometry: 125.6 meV per atom

Cell: 16.2150 11.5941 6.0432 Å, 90.00 97.96 90.00°
Last column: nearest neighbours and their distance in Å.
Space group C2/c (No. 15)
Asymmetric unit:
Tb: 0.0000 0.1119 0.2500  6 Th 3.39-3.63, 4 Tm 3.44-3.56
Tb: 0.1661 0.3889 0.0895  8 Tm 3.37-3.68, 2 Th 3.45-3.54
Tm: 0.0500 0.3679 0.5230  1 Th 3.30, 4 Tm 3.37-3.69, 5 Tb 3.38-3.68
Tm: 0.2208 0.1335 0.3485  2 Tm 3.33-3.69, 5 Tb 3.37-3.64, 3 Th 3.47-3.55
Th: 0.1142 0.1342 0.8084  4 Tm 3.30-3.55, 5 Tb 3.39-3.63, 1 Th 3.67

- Which value of total energy does entry 3 give?
  -2.854 eV per atom